Entry 1:
VASP calculation (PBE) on an optimized crystal structure of NdY7Tm12.

Cell lengths 9.657, 9.657, 9.657 Å; angles 109.47, 109.47, 109.47 degrees
Sites, in units of the cell vectors:
Tm (0.255, 0.510, 0.256)
Y (0.500, 0.000, 0.500)
Y (0.000, 0.500, 0.500)
Tm (0.256, 0.745, 0.001)
Tm (0.510, 0.256, 0.255)
Tm (0.490, 0.744, 0.745)
Y (0.000, 0.000, 0.500)
Tm (0.745, 0.001, 0.256)
Tm (0.745, 0.490, 0.744)
Tm (0.255, 0.999, 0.744)
Nd (0.000, 0.000, 0.000)
Tm (0.999, 0.744, 0.255)
Tm (0.744, 0.255, 0.999)
Tm (0.256, 0.255, 0.510)
Y (0.000, 0.500, 0.000)
Y (0.500, 0.500, 0.500)
Tm (0.001, 0.256, 0.745)
Y (0.500, 0.000, 0.000)
Y (0.500, 0.500, 0.000)
Tm (0.744, 0.745, 0.490)

- Total moment: 0.000 μB/atom
- Excess energy over the best structure of this formula in the dataset: 952 kJ/mol of formula units
- E_form: 0.746 eV/atom
- Total energy: -4.438 eV/atom



Entry 2:
VASP calculation (PBE) on an optimized crystal structure of Nd5Y3Tm.

Cell lengths 9.661, 9.661, 11.832 Å; angles 52.78, 52.78, 74.86 degrees
Sites, in units of the cell vectors:
Nd (0.747, 0.253, 0.000)
Y (0.338, 0.338, 0.648)
Nd (0.822, 0.822, 0.953)
Tm (0.846, 0.846, 0.406)
Nd (0.509, 0.509, 0.762)
Nd (0.178, 0.178, 0.047)
Tm (0.154, 0.154, 0.594)
Nd (0.157, 0.663, 0.740)
Nd (0.491, 0.491, 0.238)
Y (0.000, 0.000, 0.500)
Nd (0.663, 0.157, 0.740)
Y (0.000, 0.000, 0.000)
Nd (0.337, 0.843, 0.260)
Y (0.662, 0.662, 0.352)
Y (0.683, 0.683, 0.825)
Nd (0.253, 0.747, 0.000)
Y (0.317, 0.317, 0.175)
Nd (0.843, 0.337, 0.260)

- Total moment: 0.000 μB/atom
- Excess energy over the best structure of this formula in the dataset: 194 kJ/mol of formula units
- E_form: 0.493 eV/atom
- Total energy: -4.807 eV/atom



Entry 3:
VASP calculation (PBE) on an optimized crystal structure of Nd5YTm3.

Cell lengths 12.139, 12.139, 11.647 Å; angles 43.96, 43.96, 32.32 degrees
Sites, in units of the cell vectors:
Tm (0.355, 0.167, 0.103)
Y (0.243, 0.757, 0.250)
Nd (0.692, 0.308, 0.250)
Nd (0.255, 0.088, 0.498)
Tm (0.000, 0.000, 0.000)
Tm (0.000, 0.000, 0.500)
Nd (0.088, 0.255, 0.998)
Y (0.757, 0.243, 0.750)
Nd (0.912, 0.745, 0.002)
Nd (0.308, 0.692, 0.750)
Nd (0.615, 0.608, 0.330)
Nd (0.392, 0.385, 0.170)
Tm (0.645, 0.833, 0.897)
Tm (0.833, 0.645, 0.397)
Tm (0.167, 0.355, 0.603)
Nd (0.385, 0.392, 0.670)
Nd (0.745, 0.912, 0.502)
Nd (0.608, 0.615, 0.830)

- Total moment: 0.000 μB/atom
- Excess energy over the best structure of this formula in the dataset: 0 kJ/mol of formula units
- E_form: 0.181 eV/atom
- Total energy: -4.677 eV/atom



Entry 4:
VASP calculation (PBE) on an optimized crystal structure of NdY7Tm4.

Cell lengths 5.855, 9.567, 8.506 Å; angles 62.35, 69.87, 72.18 degrees
Sites, in units of the cell vectors:
Tm (0.429, 0.698, 0.444)
Y (0.216, 0.118, 0.449)
Y (0.213, 0.760, 0.814)
Nd (0.000, 0.000, 0.000)
Y (0.787, 0.240, 0.186)
Tm (0.571, 0.302, 0.556)
Y (0.500, 0.000, 0.000)
Y (0.784, 0.882, 0.551)
Y (0.916, 0.449, 0.719)
Tm (0.330, 0.382, 0.958)
Y (0.084, 0.551, 0.281)
Tm (0.670, 0.618, 0.042)

- Total moment: 0.012 μB/atom
- Excess energy over the best structure of this formula in the dataset: 0 kJ/mol of formula units
- E_form: 0.236 eV/atom
- Total energy: -5.423 eV/atom